First-principles (PBE) data for an optimized crystal structure of Zn2CoRu, as listed in the Alexandria database.

```
Zn2CoRu
1.0
-1.942 1.942 3.499
1.942 -1.942 3.499
1.942 1.942 -3.499
Zn Co Ru
2 1 1
direct
0.000 0.000 0.000
0.750 0.250 0.500
0.250 0.750 0.500
0.500 0.500 0.000
```

total DFT energy (no corrections)	-4.679	eV per atom